VASP calculation (PBE with a Hubbard U) on an optimized crystal structure of NiSnGeO5.

Geometry as CIF:
```
data_NiSnGeO5
_chemical_formula_sum 'Ni2 Sn2 Ge2 O10'
_symmetry_space_group_name_H-M 'P 1'
_symmetry_Int_Tables_number 1
_symmetry_space_group_name_Hall 'P 1'
_cell_length_a 5.555
_cell_length_b 5.555
_cell_length_c 7.426
_cell_angle_alpha 102.36
_cell_angle_beta 102.36
_cell_angle_gamma 111.44
loop_
_atom_site_label
_atom_site_fract_x
_atom_site_fract_y
_atom_site_fract_z
Ge1 0.689 0.311 0.250
Ge2 0.311 0.689 0.750
O1 0.747 0.594 0.441
O2 0.962 0.348 0.148
O3 0.904 0.096 0.750
O4 0.594 0.747 0.941
O5 0.096 0.904 0.250
O6 0.038 0.652 0.852
O7 0.253 0.406 0.559
O8 0.652 0.038 0.352
O9 0.406 0.253 0.059
O10 0.348 0.962 0.648
Ni1 0.690 0.310 0.750
Ni2 0.310 0.690 0.250
Sn1 0.000 0.000 0.500
Sn2 0.000 0.000 0.000
```

Results
- density (g/cm3) = 5.56
- DOS(E_F) (states/eV/atom) = 0.0000
- SG = No. 15
- uncorrected energy (eV/cell) = -94.36